{"formula": "KSrCu2", "functional": "GGA-PBE", "state": "optimized geometry", "lattice": [[3.557, 0.028, 0.000], [-0.021, 3.557, 0.000], [0.000, 0.000, 9.276]], "species": ["Cu", "Cu", "K", "Sr"], "fractional_positions": [[0.000, 0.000, 0.078], [0.500, 0.500, 0.154], [0.000, 0.000, 0.420], [0.500, 0.500, 0.848]], "energy_ev_per_atom": -2.4786, "m_tot_mub_per_cell": 0.001, "e_form_ev_per_atom": 0.26}

{"formula": "KSrCu2", "functional": "GGA-PBE", "state": "optimized geometry", "lattice": [[2.831, -3.007, 3.539], [1.301, 2.039, 4.871], [-2.412, -1.915, 4.482]], "species": ["Sr", "K", "Cu", "Cu"], "fractional_positions": [[0.500, 0.500, 0.500], [0.000, 0.000, 0.000], [0.250, 0.250, 0.250], [0.750, 0.750, 0.750]], "energy_ev_per_atom": -2.4633, "m_tot_mub_per_cell": 0.000, "e_form_ev_per_atom": 0.28}

{"formula": "KSrCu4", "functional": "GGA-PBE", "state": "optimized geometry", "lattice": [[0.000, 3.903, 3.903], [3.903, 0.000, 3.903], [3.903, 3.903, 0.000]], "species": ["K", "Sr", "Cu", "Cu", "Cu", "Cu"], "fractional_positions": [[0.750, 0.750, 0.750], [0.000, 0.000, 0.000], [0.875, 0.375, 0.375], [0.375, 0.375, 0.875], [0.375, 0.875, 0.375], [0.375, 0.375, 0.375]], "energy_ev_per_atom": -2.9677, "m_tot_mub_per_cell": 0.000, "e_form_ev_per_atom": 0.23}

{"formula": "KSr2Cu2", "functional": "GGA-PBE", "state": "optimized geometry", "lattice": [[-3.353, 4.244, -0.131], [0.099, -0.088, -5.409], [-6.280, -1.599, -2.795]], "species": ["Sr", "Sr", "K", "Cu", "Cu"], "fractional_positions": [[0.750, 0.250, 0.500], [0.250, 0.750, 0.500], [0.000, 0.000, 0.000], [0.397, 0.397, 0.206], [0.603, 0.603, 0.794]], "energy_ev_per_atom": -2.3494, "m_tot_mub_per_cell": 0.000, "e_form_ev_per_atom": 0.18}

{"formula": "K2SrCu", "functional": "GGA-PBE", "state": "optimized geometry", "lattice": [[7.917, -0.108, 0.042], [4.071, 6.791, -0.042], [-5.178, -4.805, 3.577]], "species": ["Cu", "K", "K", "Sr"], "fractional_positions": [[0.737, 0.237, 0.500], [0.930, 0.930, 0.000], [0.257, 0.757, 0.500], [0.576, 0.576, 0.000]], "energy_ev_per_atom": -1.7620, "m_tot_mub_per_cell": 0.000, "e_form_ev_per_atom": 0.23}

{"formula": "KSrCu3", "functional": "GGA-PBE", "state": "optimized geometry", "lattice": [[-3.637, -3.796, -1.134], [3.530, -3.804, 1.410], [-1.798, 0.209, 5.064]], "species": ["Sr", "K", "Cu", "Cu", "Cu"], "fractional_positions": [[0.500, 0.500, 0.500], [0.000, 0.000, 0.000], [0.000, 0.500, 0.000], [0.000, 0.000, 0.500], [0.500, 0.000, 0.000]], "energy_ev_per_atom": -2.0958, "m_tot_mub_per_cell": 0.000, "e_form_ev_per_atom": 0.92}